Version 1
Computed, not measured: a geometry-optimized PmCoPd structure at the PBE level of DFT.

```
data_PmCoPd
_chemical_formula_sum 'Pm4 Co4 Pd4'
_space_group_name_H-M_alt 'F -4 3 m'
_space_group_IT_number 216
_space_group_name_Hall 'F -4 2 3'
_cell_length_a 6.389
_cell_length_b 6.389
_cell_length_c 6.389
_cell_angle_alpha 90.00
_cell_angle_beta 90.00
_cell_angle_gamma 90.00
loop_
_atom_site_label
_atom_site_fract_x
_atom_site_fract_y
_atom_site_fract_z
Pm1 0.000 0.000 0.000
Co1 0.250 0.250 0.750
Pd1 0.250 0.250 0.250
```

V in A^3/atom: 21.73

=====

Version 2
Computed, not measured: a geometry-optimized PmCoPd structure at the PBE level of DFT.

```
data_PmCoPd
_chemical_formula_sum 'Pm4 Co4 Pd4'
_space_group_name_H-M_alt 'F -4 3 m'
_space_group_IT_number 216
_space_group_name_Hall 'F -4 2 3'
_cell_length_a 6.446
_cell_length_b 6.446
_cell_length_c 6.446
_cell_angle_alpha 90.00
_cell_angle_beta 90.00
_cell_angle_gamma 90.00
loop_
_atom_site_label
_atom_site_fract_x
_atom_site_fract_y
_atom_site_fract_z
Pm1 0.000 0.000 0.000
Co1 0.000 0.000 0.500
Pd1 0.250 0.250 0.250
```

V in A^3/atom: 22.32

=====

Relative energies, in meV per atom, with the most stable structure set to zero: version 1 369; version 2 0.

=====

Version 1
Computed, not measured: a geometry-optimized ScCoSbPd structure at the PBE level of DFT.

```
data_ScCoSbPd
_chemical_formula_sum 'Sc4 Co4 Sb4 Pd4'
_space_group_name_H-M_alt 'F -4 3 m'
_space_group_IT_number 216
_space_group_name_Hall 'F -4 2 3'
_cell_length_a 6.493
_cell_length_b 6.493
_cell_length_c 6.493
_cell_angle_alpha 90.00
_cell_angle_beta 90.00
_cell_angle_gamma 90.00
loop_
_atom_site_label
_atom_site_fract_x
_atom_site_fract_y
_atom_site_fract_z
Sc1 0.000 0.000 0.000
Co1 0.000 0.000 0.500
Sb1 0.250 0.250 0.250
Pd1 0.250 0.250 0.750
```

V in A^3/atom: 17.11

=====

Version 2
Computed, not measured: a geometry-optimized ScCoSbPd structure at the PBE level of DFT.

```
data_ScCoSbPd
_chemical_formula_sum 'Sc4 Co4 Sb4 Pd4'
_space_group_name_H-M_alt 'F -4 3 m'
_space_group_IT_number 216
_space_group_name_Hall 'F -4 2 3'
_cell_length_a 6.398
_cell_length_b 6.398
_cell_length_c 6.398
_cell_angle_alpha 90.00
_cell_angle_beta 90.00
_cell_angle_gamma 90.00
loop_
_atom_site_label
_atom_site_fract_x
_atom_site_fract_y
_atom_site_fract_z
Sc1 0.000 0.000 0.000
Co1 0.250 0.250 0.750
Sb1 0.000 0.000 0.500
Pd1 0.250 0.250 0.250
```

V in A^3/atom: 16.37

=====

Relative energies, in meV per atom, with the most stable structure set to zero: version 1 195; version 2 0.

=====

Version 1
Computed, not measured: a geometry-optimized ZrCoSbPd structure at the PBE level of DFT.

```
data_ZrCoSbPd
_chemical_formula_sum 'Zr4 Co4 Sb4 Pd4'
_space_group_name_H-M_alt 'F -4 3 m'
_space_group_IT_number 216
_space_group_name_Hall 'F -4 2 3'
_cell_length_a 6.470
_cell_length_b 6.470
_cell_length_c 6.470
_cell_angle_alpha 90.00
_cell_angle_beta 90.00
_cell_angle_gamma 90.00
loop_
_atom_site_label
_atom_site_fract_x
_atom_site_fract_y
_atom_site_fract_z
Zr1 0.000 0.000 0.000
Co1 0.250 0.250 0.750
Sb1 0.000 0.000 0.500
Pd1 0.250 0.250 0.250
```

V in A^3/atom: 16.93

=====

Version 2
Computed, not measured: a geometry-optimized ZrCoSbPd structure at the PBE level of DFT.

```
data_ZrCoSbPd
_chemical_formula_sum 'Zr4 Co4 Sb4 Pd4'
_space_group_name_H-M_alt 'F -4 3 m'
_space_group_IT_number 216
_space_group_name_Hall 'F -4 2 3'
_cell_length_a 6.520
_cell_length_b 6.520
_cell_length_c 6.520
_cell_angle_alpha 90.00
_cell_angle_beta 90.00
_cell_angle_gamma 90.00
loop_
_atom_site_label
_atom_site_fract_x
_atom_site_fract_y
_atom_site_fract_z
Zr1 0.000 0.000 0.000
Co1 0.000 0.000 0.500
Sb1 0.250 0.250 0.250
Pd1 0.250 0.250 0.750
```

V in A^3/atom: 17.33

=====

Relative energies, in meV per atom, with the most stable structure set to zero: version 1 0; version 2 175.

=====

Version 1
Computed, not measured: a geometry-optimized ScCoSnPd structure at the PBE level of DFT.

```
data_ScCoSnPd
_chemical_formula_sum 'Sc4 Co4 Sn4 Pd4'
_space_group_name_H-M_alt 'F -4 3 m'
_space_group_IT_number 216
_space_group_name_Hall 'F -4 2 3'
_cell_length_a 6.473
_cell_length_b 6.473
_cell_length_c 6.473
_cell_angle_alpha 90.00
_cell_angle_beta 90.00
_cell_angle_gamma 90.00
loop_
_atom_site_label
_atom_site_fract_x
_atom_site_fract_y
_atom_site_fract_z
Sc1 0.000 0.000 0.000
Co1 0.000 0.000 0.500
Sn1 0.250 0.250 0.250
Pd1 0.250 0.250 0.750
```

V in A^3/atom: 16.95

=====

Version 2
Computed, not measured: a geometry-optimized ScCoSnPd structure at the PBE level of DFT.

```
data_ScCoSnPd
_chemical_formula_sum 'Sc4 Co4 Sn4 Pd4'
_space_group_name_H-M_alt 'F -4 3 m'
_space_group_IT_number 216
_space_group_name_Hall 'F -4 2 3'
_cell_length_a 6.414
_cell_length_b 6.414
_cell_length_c 6.414
_cell_angle_alpha 90.00
_cell_angle_beta 90.00
_cell_angle_gamma 90.00
loop_
_atom_site_label
_atom_site_fract_x
_atom_site_fract_y
_atom_site_fract_z
Sc1 0.000 0.000 0.000
Co1 0.250 0.250 0.750
Sn1 0.000 0.000 0.500
Pd1 0.250 0.250 0.250
```

V in A^3/atom: 16.49

=====

Relative energies, in meV per atom, with the most stable structure set to zero: version 1 270; version 2 0.

=====

Version 1
Computed, not measured: a geometry-optimized CoSiPdW structure at the PBE level of DFT.

```
data_CoSiPdW
_chemical_formula_sum 'Co4 Si4 Pd4 W4'
_space_group_name_H-M_alt 'F -4 3 m'
_space_group_IT_number 216
_space_group_name_Hall 'F -4 2 3'
_cell_length_a 6.010
_cell_length_b 6.010
_cell_length_c 6.010
_cell_angle_alpha 90.00
_cell_angle_beta 90.00
_cell_angle_gamma 90.00
loop_
_atom_site_label
_atom_site_fract_x
_atom_site_fract_y
_atom_site_fract_z
Co1 0.000 0.000 0.000
Si1 0.250 0.250 0.750
Pd1 0.250 0.250 0.250
W1 0.000 0.000 0.500
```

V in A^3/atom: 13.57

=====

Version 2
Computed, not measured: a geometry-optimized CoSiPdW structure at the PBE level of DFT.

```
data_CoSiPdW
_chemical_formula_sum 'Co4 Si4 Pd4 W4'
_space_group_name_H-M_alt 'F -4 3 m'
_space_group_IT_number 216
_space_group_name_Hall 'F -4 2 3'
_cell_length_a 6.022
_cell_length_b 6.022
_cell_length_c 6.022
_cell_angle_alpha 90.00
_cell_angle_beta 90.00
_cell_angle_gamma 90.00
loop_
_atom_site_label
_atom_site_fract_x
_atom_site_fract_y
_atom_site_fract_z
Co1 0.000 0.000 0.000
Si1 0.250 0.250 0.750
Pd1 0.000 0.000 0.500
W1 0.250 0.250 0.250
```

V in A^3/atom: 13.65

=====

Relative energies, in meV per atom, with the most stable structure set to zero: version 1 0; version 2 121.

=====

Version 1
Computed, not measured: a geometry-optimized ZnCoSiPd structure at the PBE level of DFT.

```
data_ZnCoSiPd
_chemical_formula_sum 'Zn4 Co4 Si4 Pd4'
_space_group_name_H-M_alt 'F -4 3 m'
_space_group_IT_number 216
_space_group_name_Hall 'F -4 2 3'
_cell_length_a 5.937
_cell_length_b 5.937
_cell_length_c 5.937
_cell_angle_alpha 90.00
_cell_angle_beta 90.00
_cell_angle_gamma 90.00
loop_
_atom_site_label
_atom_site_fract_x
_atom_site_fract_y
_atom_site_fract_z
Zn1 0.000 0.000 0.000
Co1 0.000 0.000 0.500
Si1 0.250 0.250 0.250
Pd1 0.250 0.250 0.750
```

V in A^3/atom: 13.08

=====

Version 2
Computed, not measured: a geometry-optimized ZnCoSiPd structure at the PBE level of DFT.

```
data_ZnCoSiPd
_chemical_formula_sum 'Zn4 Co4 Si4 Pd4'
_space_group_name_H-M_alt 'F -4 3 m'
_space_group_IT_number 216
_space_group_name_Hall 'F -4 2 3'
_cell_length_a 5.884
_cell_length_b 5.884
_cell_length_c 5.884
_cell_angle_alpha 90.00
_cell_angle_beta 90.00
_cell_angle_gamma 90.00
loop_
_atom_site_label
_atom_site_fract_x
_atom_site_fract_y
_atom_site_fract_z
Zn1 0.000 0.000 0.000
Co1 0.250 0.250 0.750
Si1 0.000 0.000 0.500
Pd1 0.250 0.250 0.250
```

V in A^3/atom: 12.73

=====

Relative energies, in meV per atom, with the most stable structure set to zero: version 1 240; version 2 0.

=====

Version 1
Computed, not measured: a geometry-optimized CoSnPdW structure at the PBE level of DFT.

```
data_CoSnPdW
_chemical_formula_sum 'Co4 Sn4 Pd4 W4'
_space_group_name_H-M_alt 'F -4 3 m'
_space_group_IT_number 216
_space_group_name_Hall 'F -4 2 3'
_cell_length_a 6.287
_cell_length_b 6.287
_cell_length_c 6.287
_cell_angle_alpha 90.00
_cell_angle_beta 90.00
_cell_angle_gamma 90.00
loop_
_atom_site_label
_atom_site_fract_x
_atom_site_fract_y
_atom_site_fract_z
Co1 0.000 0.000 0.000
Sn1 0.250 0.250 0.750
Pd1 0.000 0.000 0.500
W1 0.250 0.250 0.250
```

V in A^3/atom: 15.53

=====

Version 2
Computed, not measured: a geometry-optimized CoSnPdW structure at the PBE level of DFT.

```
data_CoSnPdW
_chemical_formula_sum 'Co4 Sn4 Pd4 W4'
_space_group_name_H-M_alt 'F -4 3 m'
_space_group_IT_number 216
_space_group_name_Hall 'F -4 2 3'
_cell_length_a 6.303
_cell_length_b 6.303
_cell_length_c 6.303
_cell_angle_alpha 90.00
_cell_angle_beta 90.00
_cell_angle_gamma 90.00
loop_
_atom_site_label
_atom_site_fract_x
_atom_site_fract_y
_atom_site_fract_z
Co1 0.000 0.000 0.000
Sn1 0.250 0.250 0.750
Pd1 0.250 0.250 0.250
W1 0.000 0.000 0.500
```

V in A^3/atom: 15.65

=====

Relative energies, in meV per atom, with the most stable structure set to zero: version 1 0; version 2 78.

=====

Version 1
Computed, not measured: a geometry-optimized ZrCoSnPd structure at the PBE level of DFT.

```
data_ZrCoSnPd
_chemical_formula_sum 'Zr4 Co4 Sn4 Pd4'
_space_group_name_H-M_alt 'F -4 3 m'
_space_group_IT_number 216
_space_group_name_Hall 'F -4 2 3'
_cell_length_a 6.516
_cell_length_b 6.516
_cell_length_c 6.516
_cell_angle_alpha 90.00
_cell_angle_beta 90.00
_cell_angle_gamma 90.00
loop_
_atom_site_label
_atom_site_fract_x
_atom_site_fract_y
_atom_site_fract_z
Zr1 0.000 0.000 0.000
Co1 0.000 0.000 0.500
Sn1 0.250 0.250 0.250
Pd1 0.250 0.250 0.750
```

V in A^3/atom: 17.30

=====

Version 2
Computed, not measured: a geometry-optimized ZrCoSnPd structure at the PBE level of DFT.

```
data_ZrCoSnPd
_chemical_formula_sum 'Zr4 Co4 Sn4 Pd4'
_space_group_name_H-M_alt 'F -4 3 m'
_space_group_IT_number 216
_space_group_name_Hall 'F -4 2 3'
_cell_length_a 6.477
_cell_length_b 6.477
_cell_length_c 6.477
_cell_angle_alpha 90.00
_cell_angle_beta 90.00
_cell_angle_gamma 90.00
loop_
_atom_site_label
_atom_site_fract_x
_atom_site_fract_y
_atom_site_fract_z
Zr1 0.000 0.000 0.000
Co1 0.250 0.250 0.750
Sn1 0.000 0.000 0.500
Pd1 0.250 0.250 0.250
```

V in A^3/atom: 16.98

=====

Relative energies, in meV per atom, with the most stable structure set to zero: version 1 276; version 2 0.